No. 1
# LiRePb, single point on PBEsol structure, DFT meta-GGA SCAN
data_LiRePb
_chemical_formula_sum 'Li1 Re1 Pb1'
_space_group_name_H-M_alt 'P 3 m 1'
_space_group_IT_number 156
_space_group_name_Hall 'P 3 -2"'
_cell_length_a 4.5851
_cell_length_b 4.5851
_cell_length_c 2.8045
_cell_angle_alpha 90.00
_cell_angle_beta 90.00
_cell_angle_gamma 120.00
loop_
_atom_site_label
_atom_site_type_symbol
_atom_site_fract_x
_atom_site_fract_y
_atom_site_fract_z
Li1 Li 0.0000 0.0000 0.0000
Re1 Re 0.3333 0.6667 0.5777
Pb1 Pb 0.6667 0.3333 0.2204
# total magnetization: 0.00 Bohr magnetons per cell
# DOS(E_F): 1.0 states/eV per cell
# energy of formation: 2.03 eV/f.u.

=====

No. 2
# Zn2Cr2I, single point on PBEsol structure, DFT meta-GGA SCAN
data_Zn2Cr2I
_chemical_formula_sum 'Zn4 Cr4 I2'
_space_group_name_H-M_alt 'I 4/m m m'
_space_group_IT_number 139
_space_group_name_Hall '-I 4 2'
_cell_length_a 3.593
_cell_length_b 3.593
_cell_length_c 14.678
_cell_angle_alpha 90.00
_cell_angle_beta 90.00
_cell_angle_gamma 90.00
loop_
_atom_site_label
_atom_site_type_symbol
_atom_site_fract_x
_atom_site_fract_y
_atom_site_fract_z
Zn1 Zn 0.000 0.500 0.250
Cr1 Cr 0.000 0.000 0.112
I1 I 0.000 0.000 0.500
# total magnetization: 18.10 Bohr magnetons per cell
# DOS(E_F): 2.8 states/eV per cell
# energy relative to the elements, uncorrected: 0.2716 eV/atom

=====

No. 3
# POsBr2, single point on PBEsol structure, DFT meta-GGA SCAN
data_POsBr2
_chemical_formula_sum 'P4 Os4 Br8'
_space_group_name_H-M_alt 'F m -3 m'
_space_group_IT_number 225
_space_group_name_Hall '-F 4 2 3'
_cell_length_a 6.470
_cell_length_b 6.470
_cell_length_c 6.470
_cell_angle_alpha 90.00
_cell_angle_beta 90.00
_cell_angle_gamma 90.00
loop_
_atom_site_label
_atom_site_type_symbol
_atom_site_fract_x
_atom_site_fract_y
_atom_site_fract_z
P1 P 0.000 0.000 0.000
Os1 Os 0.000 0.000 0.500
Br1 Br 0.250 0.250 0.250
# total magnetization: 0.02 Bohr magnetons per cell
# DOS(E_F): 17.2 states/eV per cell
# energy relative to the elements, uncorrected: 1.7477 eV/atom

=====

No. 4
# AgAsPt2, single point on PBEsol structure, DFT meta-GGA SCAN
data_AgAsPt2
_chemical_formula_sum 'Ag1 As1 Pt2'
_space_group_name_H-M_alt 'P m m m'
_space_group_IT_number 47
_space_group_name_Hall '-P 2 2'
_cell_length_a 3.035
_cell_length_b 3.624
_cell_length_c 5.708
_cell_angle_alpha 90.00
_cell_angle_beta 90.00
_cell_angle_gamma 90.00
loop_
_atom_site_label
_atom_site_type_symbol
_atom_site_fract_x
_atom_site_fract_y
_atom_site_fract_z
Ag1 Ag 0.000 0.000 0.000
As1 As 0.000 0.000 0.500
Pt1 Pt 0.500 0.500 0.257
# total magnetization: 0.00 Bohr magnetons per cell
# DOS(E_F): 1.3 states/eV per cell
# energy of formation: -0.10 eV/f.u.

=====

No. 5
# Be3Pd, single point on PBEsol structure, DFT meta-GGA SCAN
data_Be3Pd
_chemical_formula_sum 'Be6 Pd2'
_space_group_name_H-M_alt 'I 4/m m m'
_space_group_IT_number 139
_space_group_name_Hall '-I 4 2'
_cell_length_a 3.295
_cell_length_b 3.295
_cell_length_c 7.143
_cell_angle_alpha 90.00
_cell_angle_beta 90.00
_cell_angle_gamma 90.00
loop_
_atom_site_label
_atom_site_type_symbol
_atom_site_fract_x
_atom_site_fract_y
_atom_site_fract_z
Be1 Be 0.000 0.000 0.000
Be2 Be 0.000 0.500 0.250
Pd1 Pd 0.000 0.000 0.500
# total magnetization: 0.00 Bohr magnetons per cell
# DOS(E_F): 1.5 states/eV per cell
# energy of formation: -1.74 eV/f.u.

=====

No. 6
# AsPb3, single point on PBEsol structure, DFT meta-GGA SCAN
data_AsPb3
_chemical_formula_sum 'As2 Pb6'
_space_group_name_H-M_alt 'I m m 2'
_space_group_IT_number 44
_space_group_name_Hall 'I 2 -2'
_cell_length_a 3.875
_cell_length_b 10.429
_cell_length_c 5.464
_cell_angle_alpha 90.00
_cell_angle_beta 90.00
_cell_angle_gamma 90.00
loop_
_atom_site_label
_atom_site_type_symbol
_atom_site_fract_x
_atom_site_fract_y
_atom_site_fract_z
As1 As 0.000 0.000 0.000
Pb1 Pb 0.000 0.287 0.375
Pb2 Pb 0.000 0.500 0.908
# total magnetization: 0.00 Bohr magnetons per cell
# DOS(E_F): 3.4 states/eV per cell
# energy of formation: 0.26 eV/f.u.

=====

No. 7
# CuNi2Ir, single point on PBEsol structure, DFT meta-GGA SCAN
data_CuNi2Ir
_chemical_formula_sum 'Cu1 Ni2 Ir1'
_space_group_name_H-M_alt 'P m m 2'
_space_group_IT_number 25
_space_group_name_Hall 'P 2 -2'
_cell_length_a 2.571
_cell_length_b 4.143
_cell_length_c 4.369
_cell_angle_alpha 90.00
_cell_angle_beta 90.00
_cell_angle_gamma 90.00
loop_
_atom_site_label
_atom_site_type_symbol
_atom_site_fract_x
_atom_site_fract_y
_atom_site_fract_z
Cu1 Cu 0.000 0.000 0.000
Ni1 Ni 0.500 0.000 0.493
Ni2 Ni 0.500 0.500 0.147
Ir1 Ir 0.000 0.500 0.643
# total magnetization: 0.01 Bohr magnetons per cell
# DOS(E_F): 5.5 states/eV per cell
# energy of formation: 0.23 eV/f.u.

=====

No. 8
# Er2Si3Rh, single point on PBEsol structure, DFT meta-GGA SCAN
data_Er2Si3Rh
_chemical_formula_sum 'Er8 Si12 Rh4'
_space_group_name_H-M_alt 'P 63/m m c'
_space_group_IT_number 194
_space_group_name_Hall '-P 6c 2c'
_cell_length_a 8.0771
_cell_length_b 8.0771
_cell_length_c 7.6314
_cell_angle_alpha 90.00
_cell_angle_beta 90.00
_cell_angle_gamma 120.00
loop_
_atom_site_label
_atom_site_type_symbol
_atom_site_fract_x
_atom_site_fract_y
_atom_site_fract_z
Er1 Er 0.0000 0.0000 0.2500
Er2 Er 0.0197 0.5098 0.2500
Si1 Si 0.1672 0.3343 0.5023
Rh1 Rh 0.3333 0.6667 0.5372
# total magnetization: 0.00 Bohr magnetons per cell
# DOS(E_F): 6.0 states/eV per cell
# energy relative to the elements, uncorrected: -0.9831 eV/atom

=====

No. 9
# ZrTaCr4, single point on PBEsol structure, DFT meta-GGA SCAN
data_ZrTaCr4
_chemical_formula_sum 'Zr4 Ta4 Cr16'
_space_group_name_H-M_alt 'F -4 3 m'
_space_group_IT_number 216
_space_group_name_Hall 'F -4 2 3'
_cell_length_a 6.944
_cell_length_b 6.944
_cell_length_c 6.944
_cell_angle_alpha 90.00
_cell_angle_beta 90.00
_cell_angle_gamma 90.00
loop_
_atom_site_label
_atom_site_type_symbol
_atom_site_fract_x
_atom_site_fract_y
_atom_site_fract_z
Zr1 Zr 0.000 0.000 0.000
Ta1 Ta 0.250 0.250 0.750
Cr1 Cr 0.125 0.125 0.375
# total magnetization: 0.00 Bohr magnetons per cell
# DOS(E_F): 13.3 states/eV per cell
# energy of formation: -0.20 eV/f.u.

=====

No. 10
# K2BeNb, single point on PBEsol structure, DFT meta-GGA SCAN
data_K2BeNb
_chemical_formula_sum 'K8 Be4 Nb4'
_space_group_name_H-M_alt 'I -4 2 d'
_space_group_IT_number 122
_space_group_name_Hall 'I -4 2bw'
_cell_length_a 11.950
_cell_length_b 11.950
_cell_length_c 4.703
_cell_angle_alpha 90.00
_cell_angle_beta 90.00
_cell_angle_gamma 90.00
loop_
_atom_site_label
_atom_site_type_symbol
_atom_site_fract_x
_atom_site_fract_y
_atom_site_fract_z
K1 K 0.090 0.750 0.125
Be1 Be 0.000 0.000 0.000
Nb1 Nb 0.000 0.000 0.500
# total magnetization: 16.42 Bohr magnetons per cell
# DOS(E_F): 23.3 states/eV per cell
# energy of formation: 5.32 eV/f.u.

=====

No. 11
# YTcOs, single point on PBEsol structure, DFT meta-GGA SCAN
data_YTcOs
_chemical_formula_sum 'Y4 Tc4 Os4'
_space_group_name_H-M_alt 'F -4 3 m'
_space_group_IT_number 216
_space_group_name_Hall 'F -4 2 3'
_cell_length_a 6.219
_cell_length_b 6.219
_cell_length_c 6.219
_cell_angle_alpha 90.00
_cell_angle_beta 90.00
_cell_angle_gamma 90.00
loop_
_atom_site_label
_atom_site_type_symbol
_atom_site_fract_x
_atom_site_fract_y
_atom_site_fract_z
Y1 Y 0.000 0.000 0.000
Tc1 Tc 0.000 0.000 0.500
Os1 Os 0.250 0.250 0.750
# total magnetization: 0.00 Bohr magnetons per cell
# DOS(E_F): 15.1 states/eV per cell
# energy of formation: 1.09 eV/f.u.

=====

No. 12
# SrMg2Ni, single point on PBEsol structure, DFT meta-GGA SCAN
data_SrMg2Ni
_chemical_formula_sum 'Sr1 Mg2 Ni1'
_space_group_name_H-M_alt 'P 4/m m m'
_space_group_IT_number 123
_space_group_name_Hall '-P 4 2'
_cell_length_a 3.273
_cell_length_b 3.273
_cell_length_c 8.239
_cell_angle_alpha 90.00
_cell_angle_beta 90.00
_cell_angle_gamma 90.00
loop_
_atom_site_label
_atom_site_type_symbol
_atom_site_fract_x
_atom_site_fract_y
_atom_site_fract_z
Sr1 Sr 0.000 0.000 0.000
Mg1 Mg 0.500 0.500 0.330
Ni1 Ni 0.000 0.000 0.500
# total magnetization: 0.00 Bohr magnetons per cell
# DOS(E_F): 2.6 states/eV per cell
# energy of formation: 0.30 eV/f.u.